## FeNiSe (PBE-GGA)

Data for crystalline FeNiSe at its relaxed geometry.

Computed properties:
Formation energy without anion corrections in eV per atom: 0.123
D(E_F) in states/eV/atom: 1.2869
Magnetic moment in μB/f.u.: 4.01
Excess energy over the best structure of this formula in the dataset in eV/atom: 0.059
Space group: F-43m

Structure (POSCAR):
```
FeNiSe
1.0
5.698 0.000 0.000
0.000 5.698 0.000
0.000 0.000 5.698
Fe Ni Se
4 4 4
Cartesian
0.000 0.000 0.000 Fe
0.000 2.849 2.849 Fe
2.849 0.000 2.849 Fe
2.849 2.849 0.000 Fe
1.425 1.425 1.425 Ni
1.425 4.274 4.274 Ni
4.274 1.425 4.274 Ni
4.274 4.274 1.425 Ni
0.000 0.000 2.849 Se
0.000 2.849 0.000 Se
2.849 0.000 0.000 Se
2.849 2.849 2.849 Se
```